No. 1
Computed, not measured: crystalline YZnAg3 at its relaxed geometry at the PBE level of DFT.

Results
**SG**: P2_1/m (11)
**Polymorph energy (0 for the lowest one)**: 0 meV/atom
**Formation enthalpy at 0 K**: -0.22 eV/atom

Unit cell a=5.782 b=5.765 c=6.010 alpha=90.00 beta=93.73 gamma=90.00
Element x y z (fractional)
Ag  0.677  0.502  0.847
Ag  0.323  0.498  0.153
Ag  0.677  0.998  0.847
Ag  0.323  0.002  0.153
Ag  0.362  0.250  0.558
Ag  0.638  0.750  0.442
Zn  0.940  0.750  0.146
Zn  0.060  0.250  0.854
Y  0.841  0.250  0.333
Y  0.159  0.750  0.667

No. 2
Computed, not measured: crystalline YZn3Ag at its relaxed geometry at the PBE level of DFT.

Results
**SG**: Pm-3m (221)
**Polymorph energy (0 for the lowest one)**: 1178 meV/atom
**Formation enthalpy at 0 K**: 0.94 eV/atom

Unit cell a=5.550 b=5.550 c=5.550 alpha=90.00 beta=90.00 gamma=90.00
Element x y z (fractional)
Zn  0.500  0.000  0.000
Zn  0.000  0.500  0.000
Zn  0.000  0.000  0.500
Y  0.000  0.000  0.000
Ag  0.500  0.500  0.500

No. 3
Computed, not measured: crystalline Y4ZnAg2 at its relaxed geometry at the PBE level of DFT.

Results
**SG**: R-3m (166)
**Formation enthalpy at 0 K**: -0.19 eV/atom

Unit cell a=5.090 b=5.090 c=8.740 alpha=73.07 beta=73.07 gamma=60.00
Element x y z (fractional)
Y  0.377  0.377  0.869
Y  0.126  0.126  0.622
Y  0.623  0.623  0.131
Y  0.874  0.874  0.378
Ag  0.748  0.748  0.755
Ag  0.252  0.252  0.245
Zn  0.000  0.000  0.000

No. 4
Computed, not measured: crystalline Y2ZnAg at its relaxed geometry at the PBE level of DFT.

Results
**SG**: R-3m (166)
**Formation enthalpy at 0 K**: -0.10 eV/atom

Unit cell a=9.000 b=9.000 c=9.000 alpha=23.74 beta=23.74 gamma=23.74
Last column: magnetic moment on the atom in μB.
Element x y z (fractional)
Zn  0.250  0.250  0.250  0.01
Ag  0.750  0.750  0.750  0.04
Y  0.502  0.502  0.502  0.13
Y  0.998  0.998  0.998  0.13

No. 5
Computed, not measured: crystalline YZnAg2 at its relaxed geometry at the PBE level of DFT.

Results
**SG**: P4/mmm (123)
**Formation enthalpy at 0 K**: -0.16 eV/atom

Unit cell a=3.415 b=3.415 c=6.916 alpha=90.00 beta=90.00 gamma=90.02
Element x y z (fractional)
Ag  0.000  0.000  0.537
Ag  0.000  0.000  0.963
Y  0.500  0.500  0.250
Zn  0.500  0.500  0.750

No. 6
Computed, not measured: crystalline YZn2Ag at its relaxed geometry at the PBE level of DFT.

Results
**SG**: P4/mmm (123)
**Formation enthalpy at 0 K**: -0.18 eV/atom

Unit cell a=4.354 b=4.319 c=4.319 alpha=90.00 beta=90.00 gamma=90.00
Element x y z (fractional)
Ag  0.500  0.500  0.500
Zn  0.000  0.000  0.500
Zn  0.000  0.500  0.000
Y  0.500  0.000  0.000